[1]
MnHgOs2 | GGA-PBE | optimized geometry

Raw total energy: -7.331 eV per atom
Spin magnetization: 2.77 μB/f.u.
Energy of formation from the pure elements: 652 meV/atom

abc: 2.795 4.238 5.428
angles: 90.00 101.94 90.00
Space group P2/m (No. 10)
Inequivalent atoms, fractional coordinates:
Mn  0.000  0.000  0.000 (multiplicity 1)
Hg  0.000  0.000  0.500 (multiplicity 1)
Os  0.369  0.500  0.215 (multiplicity 2)



[2]
Mn2HgOs | GGA-PBE | optimized geometry

Raw total energy: -7.103 eV per atom
Spin magnetization: 5.03 μB/f.u.
Energy of formation from the pure elements: 364 meV/atom

abc: 2.889 2.889 7.320
angles: 90.00 90.00 90.00
Space group P4mm (No. 99)
Inequivalent atoms, fractional coordinates:
Mn  0.000  0.000  0.000 (multiplicity 1)
Mn  0.500  0.500  0.223 (multiplicity 1)
Hg  0.500  0.500  0.717 (multiplicity 1)
Os  0.000  0.000  0.414 (multiplicity 1)



[3]
MnHgOs2 | GGA-PBE | optimized geometry

Raw total energy: -7.461 eV per atom
Spin magnetization: 2.16 μB/f.u.
Energy of formation from the pure elements: 521 meV/atom

abc: 2.797 4.570 9.713
angles: 90.00 90.00 90.00
Space group Immm (No. 71)
Inequivalent atoms, fractional coordinates:
Mn  0.000  0.000  0.000 (multiplicity 2)
Hg  0.000  0.000  0.500 (multiplicity 2)
Os  0.000  0.500  0.282 (multiplicity 4)



[4]
Mn2HgOs | GGA-PBE | optimized geometry

Raw total energy: -6.859 eV per atom
Spin magnetization: 2.43 μB/f.u.
Energy of formation from the pure elements: 609 meV/atom

abc: 8.801 2.782 4.921
angles: 90.00 99.75 90.00
Space group C2/m (No. 12)
Inequivalent atoms, fractional coordinates:
Mn  0.242  0.000  0.189 (multiplicity 4)
Hg  0.000  0.000  0.500 (multiplicity 2)
Os  0.000  0.500  0.000 (multiplicity 2)



[5]
Mn2HgOs | GGA-PBE | optimized geometry

Raw total energy: -6.979 eV per atom
Spin magnetization: 7.18 μB/f.u.
Energy of formation from the pure elements: 488 meV/atom

abc: 4.180 4.180 7.089
angles: 90.00 90.00 90.00
Space group I4/mmm (No. 139)
Inequivalent atoms, fractional coordinates:
Mn  0.000  0.500  0.250 (multiplicity 4)
Hg  0.000  0.000  0.000 (multiplicity 2)
Os  0.000  0.000  0.500 (multiplicity 2)



[6]
MnHgOs2 | GGA-PBE | optimized geometry

Raw total energy: -7.326 eV per atom
Spin magnetization: 3.29 μB/f.u.
Energy of formation from the pure elements: 657 meV/atom

abc: 3.932 3.932 7.933
angles: 90.00 90.00 90.00
Space group I-4m2 (No. 119)
Inequivalent atoms, fractional coordinates:
Mn  0.000  0.000  0.000 (multiplicity 2)
Hg  0.000  0.500  0.250 (multiplicity 2)
Os  0.000  0.000  0.500 (multiplicity 2)
Os  0.000  0.500  0.750 (multiplicity 2)



[7]
MnHgOs2 | GGA-PBE | optimized geometry

Raw total energy: -7.228 eV per atom
Spin magnetization: 4.07 μB/f.u.
Energy of formation from the pure elements: 754 meV/atom

abc: 2.883 4.683 4.697
angles: 90.00 90.00 90.00
Space group Pmmm (No. 47)
Inequivalent atoms, fractional coordinates:
Mn  0.000  0.000  0.000 (multiplicity 1)
Hg  0.500  0.000  0.500 (multiplicity 1)
Os  0.000  0.500  0.500 (multiplicity 1)
Os  0.500  0.500  0.000 (multiplicity 1)



[8]
MnHg4Os | GGA-PBE | optimized geometry

Raw total energy: -2.565 eV per atom
Spin magnetization: 4.37 μB/f.u.
Energy of formation from the pure elements: 1036 meV/atom

abc: 7.894 7.894 7.894
angles: 90.00 90.00 90.00
Space group F-43m (No. 216)
Inequivalent atoms, fractional coordinates:
Mn  0.000  0.000  0.000 (multiplicity 4)
Hg  0.125  0.125  0.375 (multiplicity 16)
Os  0.250  0.250  0.750 (multiplicity 4)



[9]
Mn2HgOs | GGA-PBE | optimized geometry

Raw total energy: -6.614 eV per atom
Spin magnetization: 6.25 μB/f.u.
Energy of formation from the pure elements: 854 meV/atom

abc: 7.071 7.071 5.474
angles: 90.00 90.00 90.00
Space group I-42d (No. 122)
Inequivalent atoms, fractional coordinates:
Mn  0.217  0.250  0.125 (multiplicity 8)
Hg  0.000  0.000  0.500 (multiplicity 4)
Os  0.000  0.000  0.000 (multiplicity 4)



[10]
Mn2HgOs | GGA-PBE | optimized geometry

Raw total energy: -6.831 eV per atom
Spin magnetization: 5.97 μB/f.u.
Energy of formation from the pure elements: 637 meV/atom

abc: 6.277 6.277 6.277
angles: 90.00 90.00 90.00
Space group F-43m (No. 216)
Inequivalent atoms, fractional coordinates:
Mn  0.000  0.000  0.000 (multiplicity 4)
Mn  0.250  0.250  0.250 (multiplicity 4)
Hg  0.250  0.250  0.750 (multiplicity 4)
Os  0.000  0.000  0.500 (multiplicity 4)



[11]
MnHgOs2 | GGA-PBE | optimized geometry

Raw total energy: -7.303 eV per atom
Spin magnetization: 2.74 μB/f.u.
Energy of formation from the pure elements: 679 meV/atom

abc: 2.881 4.756 9.386
angles: 90.00 90.00 90.00
Space group Cmm2 (No. 35)
Inequivalent atoms, fractional coordinates:
Mn  0.000  0.000  0.000 (multiplicity 2)
Hg  0.000  0.500  0.262 (multiplicity 2)
Os  0.000  0.000  0.542 (multiplicity 2)
Os  0.000  0.500  0.777 (multiplicity 2)



[12]
Mn4HgOs | GGA-PBE | optimized geometry

Raw total energy: -7.633 eV per atom
Spin magnetization: 5.36 μB/f.u.
Energy of formation from the pure elements: 402 meV/atom

abc: 6.795 6.795 6.795
angles: 90.00 90.00 90.00
Space group F-43m (No. 216)
Inequivalent atoms, fractional coordinates:
Mn  0.125  0.125  0.125 (multiplicity 16)
Hg  0.000  0.000  0.500 (multiplicity 4)
Os  0.250  0.250  0.750 (multiplicity 4)